[1]
A plane-wave DFT calculation with GGA-PBE was carried out for SrSiIr3 after structural relaxation.

a = 4.951 Å, b = 4.951 Å, c = 4.951 Å
α = 90.00°, β = 90.00°, γ = 90.00°
Each line ends with the local moment (μB).
Element x y z (fractional)
Ir  0.500  0.000  0.000  0.32
Sr  0.000  0.000  0.000  -0.03
Si  0.500  0.500  0.500  -0.03
Ir  0.000  0.500  0.000  0.42
Ir  0.000  0.000  0.500  0.39

electronic total energy	-19.6	eV per cell
offset from the most stable computed form	2795.3	meV/atom
SG	Pm-3m
volume	24.28	Å³ per atom
DOS at the Fermi energy	3.56	states/eV/cell
formation energy (no corrections)	2.824	eV per atom

[2]
A plane-wave DFT calculation with GGA-PBE was carried out for SrSi2Ir4 after structural relaxation.

a = 3.869 Å, b = 7.730 Å, c = 7.730 Å
α = 90.00°, β = 90.00°, γ = 90.00°
Element x y z (fractional)
Sr  0.000  0.500  0.500
Ir  0.000  0.341  0.077
Sr  0.500  0.000  0.000
Ir  0.500  0.841  0.423
Si  0.000  0.773  0.227
Ir  0.500  0.577  0.159
Si  0.500  0.273  0.273
Ir  0.500  0.423  0.841
Ir  0.000  0.923  0.659
Ir  0.000  0.077  0.341
Si  0.500  0.727  0.727
Si  0.000  0.227  0.773
Ir  0.000  0.659  0.923
Ir  0.500  0.159  0.577

electronic total energy	-104.1	eV per cell
SG	P4_2/mnm
volume	16.51	Å³ per atom
DOS at the Fermi energy	10.16	states/eV/cell
formation energy (no corrections)	-0.583	eV per atom

[3]
A plane-wave DFT calculation with GGA-PBE was carried out for SrSiIr after structural relaxation.

a = 6.172 Å, b = 6.172 Å, c = 3.247 Å
α = 74.75°, β = 74.75°, γ = 30.50°
Element x y z (fractional)
Sr  0.666  0.666  0.334
Si  0.374  0.374  0.626
Ir  0.960  0.960  0.040

electronic total energy	-17.1	eV per cell
SG	I4mm
volume	20.13	Å³ per atom
DOS at the Fermi energy	1.92	states/eV/cell
formation energy (no corrections)	-0.378	eV per atom

[4]
A plane-wave DFT calculation with GGA-PBE was carried out for SrSi3Ir3 after structural relaxation.

a = 6.751 Å, b = 6.751 Å, c = 8.360 Å
α = 66.19°, β = 66.19°, γ = 60.00°
Element x y z (fractional)
Si  0.617  0.876  0.300
Si  0.207  0.617  0.300
Si  0.383  0.124  0.700
Sr  0.669  0.669  0.993
Ir  0.226  0.902  0.370
Ir  0.498  0.774  0.630
Ir  0.098  0.498  0.630
Si  0.793  0.383  0.700
Sr  0.331  0.331  0.007
Ir  0.902  0.502  0.370
Si  0.876  0.207  0.300
Si  0.124  0.793  0.700
Ir  0.774  0.098  0.630
Ir  0.502  0.226  0.370

electronic total energy	-95.8	eV per cell
offset from the most stable computed form	50.5	meV/atom
SG	R-3
volume	20.85	Å³ per atom
DOS at the Fermi energy	8.13	states/eV/cell
formation energy (no corrections)	-0.478	eV per atom

[5]
A plane-wave DFT calculation with GGA-PBE was carried out for SrSi7Ir3 after structural relaxation.

a = 7.702 Å, b = 7.702 Å, c = 8.106 Å
α = 61.64°, β = 61.64°, γ = 60.00°
Element x y z (fractional)
Si  0.826  0.650  0.087
Si  0.436  0.826  0.087
Si  0.174  0.350  0.913
Si  0.250  0.250  0.250
Si  0.750  0.750  0.750
Ir  0.250  0.568  0.250
Sr  0.500  0.500  0.500
Si  0.564  0.174  0.913
Ir  0.932  0.250  0.250
Si  0.650  0.436  0.087
Si  0.850  0.674  0.413
Ir  0.750  0.432  0.750
Si  0.326  0.936  0.587
Ir  0.068  0.750  0.750
Ir  0.568  0.932  0.250
Sr  0.000  0.000  0.000
Ir  0.432  0.068  0.750
Si  0.064  0.850  0.413
Si  0.674  0.064  0.413
Si  0.936  0.150  0.587
Si  0.350  0.564  0.913
Si  0.150  0.326  0.587

electronic total energy	-145.2	eV per cell
SG	R-3c
volume	15.83	Å³ per atom
DOS at the Fermi energy	6.96	states/eV/cell
formation energy (no corrections)	-0.582	eV per atom

[6]
A plane-wave DFT calculation with GGA-PBE was carried out for SrSi3Ir after structural relaxation.

a = 6.512 Å, b = 7.686 Å, c = 8.549 Å
α = 114.42°, β = 90.00°, γ = 90.00°
Element x y z (fractional)
Sr  0.055  0.359  0.781
Ir  0.767  0.091  0.426
Si  0.050  0.652  0.601
Ir  0.233  0.909  0.574
Si  0.950  0.348  0.399
Si  0.450  0.652  0.101
Ir  0.733  0.091  0.926
Si  0.554  0.822  0.424
Si  0.550  0.348  0.899
Si  0.357  0.049  0.867
Sr  0.445  0.359  0.281
Si  0.143  0.049  0.367
Si  0.446  0.178  0.576
Si  0.946  0.822  0.924
Sr  0.945  0.641  0.219
Si  0.643  0.951  0.133
Si  0.857  0.951  0.633
Sr  0.555  0.641  0.719
Si  0.054  0.178  0.076
Ir  0.267  0.909  0.074

electronic total energy	-116.3	eV per cell
SG	P2_1/c
volume	19.48	Å³ per atom
DOS at the Fermi energy	5.77	states/eV/cell
formation energy (no corrections)	-0.453	eV per atom